DFT (PBE-GGA) results for a geometry-optimized CrCuAgHg2 structure.

Output
* volume: 26.97 Å³/atom
* energy relative to the elements: 0.90 eV per atom
* space-group type: No. 123

The structure in POSCAR format:
```
CrCuAgHg2
1.0
5.2738 0.0000 0.0000
0.0000 4.8489 0.0000
0.0000 0.0000 5.2738
Cr Cu Hg Ag
1 1 2 1
Direct
0.5000 0.5000 0.5000
0.0000 0.5000 0.0000
0.0000 0.0000 0.5000
0.5000 0.0000 0.0000
0.0000 0.0000 0.0000
```

---

DFT (PBE-GGA) results for a geometry-optimized CrCuAg2N structure.

Output
* volume: 22.05 Å³/atom
* space-group type: No. 123
* raw formation energy: 2273 meV/atom

The structure in POSCAR format:
```
CrCuAg2N
1.0
-4.7294 0.7452 -1.1687
-0.1528 -4.0801 -1.9833
-1.3760 -2.0270 4.2761
Cr Cu Ag N
1 1 2 1
Direct
0.0000 0.0000 0.0000
0.0000 0.5000 0.0000
0.0000 0.0000 0.5000
0.5000 0.0000 0.0000
0.5000 0.5000 0.5000
```

---

What did the second record say?
DFT (PBE-GGA) results for a geometry-optimized CrCuAg2N structure.

Output
* volume: 22.05 Å³/atom
* space-group type: No. 123
* raw formation energy: 2273 meV/atom

The structure in POSCAR format:
```
CrCuAg2N
1.0
-4.7294 0.7452 -1.1687
-0.1528 -4.0801 -1.9833
-1.3760 -2.0270 4.2761
Cr Cu Ag N
1 1 2 1
Direct
0.0000 0.0000 0.0000
0.0000 0.5000 0.0000
0.0000 0.0000 0.5000
0.5000 0.0000 0.0000
0.5000 0.5000 0.5000
```

---

Question: Look up the volume of the second one.
Answer: 22.05 Å³/atom